Density functional theory data (PBE) for In2MoRu after structural relaxation.

## Properties
Energy above the most stable polymorph in this dataset ... 675 meV/atom
ΔE_f ... 3.2 eV/f.u.

```
16
Lattice="7.487 0.000 0.000 0.000 7.487 0.000 0.000 0.000 5.581" Properties=species:S:1:pos:R:3 pbc="T T T"
In 1.760 5.616 0.698
In 1.872 1.760 4.883
In 1.872 1.984 2.093
In 1.984 5.616 3.488
In 5.504 1.872 3.488
In 5.616 5.504 2.093
In 5.616 5.727 4.883
In 5.727 1.872 0.698
Mo 0.000 0.000 2.791
Mo 0.000 3.744 4.186
Mo 3.744 0.000 1.395
Mo 3.744 3.744 0.000
Ru 0.000 0.000 0.000
Ru 0.000 3.744 1.395
Ru 3.744 0.000 4.186
Ru 3.744 3.744 2.791
```